CaUMn2O8 | PBE with a Hubbard U | optimized geometry

a b c (Å): 4.854 4.854 6.836
angles (deg): 95.04 95.04 83.66
Sites, in units of the cell vectors:
Ca 0.000 0.000 0.000
U 0.000 0.000 0.500
Mn 0.464 0.464 0.783
Mn 0.536 0.536 0.217
O 0.211 0.780 0.733
O 0.220 0.789 0.267
O 0.281 0.281 0.556
O 0.335 0.335 0.001
O 0.665 0.665 0.999
O 0.719 0.719 0.444
O 0.780 0.211 0.733
O 0.789 0.220 0.267

## Properties
Total energy: -93.3 eV/f.u.
Magnetic moment: 5.99 μB/f.u.